No. 1
A relaxed P2AuCl crystal. Source: Alexandria, functional PBE.

a b c (Å): 3.047 5.350 8.706
angles (deg): 90.00 90.00 90.00
Space group Cmmm (No. 65)
Unique sites:
P 0.000 0.000 0.245
Au 0.000 0.500 0.000
Cl 0.000 0.500 0.500

N(E_F)	1.661	states/eV/f.u.
E_form (uncorrected)	0.590	eV/atom

=====

No. 2
A relaxed Pm2AlZn12Ni3 crystal. Source: Alexandria, functional PBE.

a b c (Å): 9.0594 9.0594 12.6214
angles (deg): 90.00 90.00 120.00
Space group R-3m (No. 166, hexagonal axes)
Unique sites:
Pm 0.0000 0.0000 0.2446
Al 0.0000 0.0000 0.0000
Zn 0.0132 0.5066 0.7048
Zn 0.0602 0.5301 0.0997
Ni 0.0000 0.5000 0.5000

N(E_F)	8.310	states/eV/f.u.
energy of formation	-26	meV/atom

=====

No. 3
A relaxed InP2RuRh crystal. Source: Alexandria, functional PBE.

a b c (Å): 4.416 4.416 5.220
angles (deg): 90.00 90.00 90.00
Space group P4/mmm (No. 123)
Unique sites:
In 0.000 0.000 0.000
P 0.000 0.500 0.500
Ru 0.500 0.500 0.500
Rh 0.500 0.500 0.000

N(E_F)	4.755	states/eV/f.u.
energy of formation	517	meV/atom

=====

No. 4
A relaxed KTeAs crystal. Source: Alexandria, functional PBE.

a b c (Å): 5.6719 5.6719 3.0767
angles (deg): 90.00 90.00 120.00
Space group P-6m2 (No. 187)
Unique sites:
K 0.0000 0.0000 0.0000
Te 0.6667 0.3333 0.5000
As 0.3333 0.6667 0.5000

N(E_F)	2.680	states/eV/f.u.
E_form (uncorrected)	-0.095	eV/atom

=====

No. 5
A relaxed Ac3ZnI3 crystal. Source: Alexandria, functional PBE.

a b c (Å): 13.235 13.235 13.235
angles (deg): 90.00 90.00 90.00
Space group I4_132 (No. 214)
Unique sites:
Ac 0.112 0.362 0.125
Zn 0.125 0.125 0.125
I 0.115 0.135 0.625

N(E_F)	6.380	states/eV/f.u.
E_form (uncorrected)	-0.959	eV/atom

=====

No. 6
A relaxed FeCo2Cu crystal. Source: Alexandria, functional PBE.

a b c (Å): 5.103 6.865 2.602
angles (deg): 90.00 90.00 90.00
Space group Cmmm (No. 65)
Unique sites:
Fe 0.000 0.000 0.000
Co 0.250 0.250 0.500
Cu 0.000 0.500 0.000

N(E_F)	3.984	states/eV/f.u.
energy of formation	108	meV/atom

=====

No. 7
A relaxed Mg6CuAg5 crystal. Source: Alexandria, functional PBE.

a b c (Å): 4.647 6.739 7.296
angles (deg): 90.00 107.96 90.00
Space group P2/m (No. 10)
Unique sites:
Mg 0.000 0.242 0.000
Mg 0.337 0.246 0.674
Cu 0.500 0.000 0.000
Ag 0.168 0.000 0.336
Ag 0.168 0.500 0.336
Ag 0.500 0.500 0.000

N(E_F)	2.657	states/eV/f.u.
energy of formation	-213	meV/atom

=====

No. 8
A relaxed BaPIrPt crystal. Source: Alexandria, functional PBE.

a b c (Å): 3.953 3.953 11.518
angles (deg): 90.00 90.00 90.00
Space group P4/nmm (No. 129, origin choice 2)
Unique sites:
Ba 0.250 0.250 0.221
P 0.250 0.250 0.614
Ir 0.250 0.750 0.500
Pt 0.250 0.750 0.000

N(E_F)	2.854	states/eV/f.u.
energy of formation	-698	meV/atom

=====

No. 9
A relaxed Cu3NiBr crystal. Source: Alexandria, functional PBE.

a b c (Å): 4.491 4.491 4.491
angles (deg): 90.00 90.00 90.00
Space group Pm-3m (No. 221)
Unique sites:
Cu 0.000 0.000 0.500
Ni 0.000 0.000 0.000
Br 0.500 0.500 0.500

N(E_F)	2.566	states/eV/f.u.
E_form (uncorrected)	0.797	eV/atom

=====

No. 10
A relaxed Nd4BSCl2 crystal. Source: Alexandria, functional PBE.

a b c (Å): 7.029 4.003 7.359
angles (deg): 90.00 108.35 90.00
Space group P2/m (No. 10)
Unique sites:
Nd 0.217 0.000 0.205
Nd 0.242 0.500 0.791
B 0.000 0.500 0.000
S 0.500 0.000 0.000
Cl 0.000 0.000 0.500
Cl 0.500 0.500 0.500

N(E_F)	2.920	states/eV/f.u.
E_form (uncorrected)	-1.363	eV/atom

=====

No. 11
A relaxed Cr2FeRu2 crystal. Source: Alexandria, functional PBE.

a b c (Å): 7.040 7.040 2.732
angles (deg): 90.00 90.00 90.00
Space group P4/mbm (No. 127)
Unique sites:
Cr 0.163 0.337 0.000
Fe 0.000 0.000 0.500
Ru 0.137 0.637 0.500

N(E_F)	6.712	states/eV/f.u.
energy of formation	301	meV/atom

=====

No. 12
A relaxed ZrAu2Se crystal. Source: Alexandria, functional PBE.

a b c (Å): 7.837 7.837 5.407
angles (deg): 90.00 90.00 90.00
Space group I-42d (No. 122)
Unique sites:
Zr 0.000 0.000 0.000
Au 0.243 0.750 0.625
Se 0.000 0.000 0.500

N(E_F)	0.003	states/eV/f.u.
E_form (uncorrected)	-0.417	eV/atom